(1)
Here is a geometry-optimized BaGdFe2O5 structure from Alexandria via LeMat-Bulk. Energies are from PBEsol.

abc: 3.8699 3.8699 7.3289
angles: 90.00 90.00 90.00
Space group P4/mmm (No. 123)
Symmetry-distinct sites (fractional):
Ba: 0.0000 0.0000 0.0000
Gd: 0.0000 0.0000 0.5000
Fe: 0.5000 0.5000 0.2741
O: 0.0000 0.5000 0.3018
O: 0.5000 0.5000 0.0000

Results
formation energy (no corrections) = -2210 meV per atom
calculated total energy = -80.66 eV per cell
volume = 109.8 Å³ per cell
total magnetic moment = 0.021 μB/atom

(2)
Here is a geometry-optimized BaFeGe2Ir structure from Alexandria via LeMat-Bulk. Energies are from PBEsol.

abc: 4.7496 4.7496 4.9962
angles: 90.00 90.00 90.00
Space group P4/mmm (No. 123)
Symmetry-distinct sites (fractional):
Ba: 0.0000 0.0000 0.0000
Fe: 0.5000 0.5000 0.0000
Ge: 0.0000 0.5000 0.5000
Ir: 0.5000 0.5000 0.5000

Results
calculated total energy = -30.16 eV per cell
volume = 112.7 Å³ per cell
total magnetic moment = 0.604 μB/atom

(3)
Here is a geometry-optimized Ba3FeH structure from Alexandria via LeMat-Bulk. Energies are from PBEsol.

abc: 5.6507 5.6507 5.6507
angles: 90.00 90.00 90.00
Space group Pm-3m (No. 221)
Symmetry-distinct sites (fractional):
Ba: 0.0000 0.0000 0.5000
Fe: 0.0000 0.0000 0.0000
H: 0.5000 0.5000 0.5000

Results
calculated total energy = -15.45 eV per cell
volume = 180.4 Å³ per cell
total magnetic moment = 0.089 μB/atom